# 1
The following is a DFT calculation (PBE) of a geometry-optimized CsU2I7 structure.

Cell and atoms, written as POSCAR:
```
CsU2I7
1.0
6.210 0.000 0.000
0.000 9.494 -0.035
0.000 -4.220 8.505
I U Cs
7 2 1
Direct
0.500 0.673 0.952
0.000 0.297 0.703
0.500 0.327 0.048
0.000 0.703 0.297
0.500 0.500 0.500
0.500 0.952 0.673
0.500 0.048 0.327
0.500 0.695 0.305
0.500 0.305 0.695
0.000 0.000 0.000
```

Output
Magnetization, μB/atom: 0.60
Space group: Cmmm
Energy, eV per atom: -4.3437
Formation energy without anion corrections, eV/atom: -0.9156

# 2
The following is a DFT calculation (PBE) of a geometry-optimized Cs3UI7 structure.

Cell and atoms, written as POSCAR:
```
Cs3UI7
1.0
-7.497 -4.801 -0.315
3.752 -7.699 2.453
-3.123 -4.062 8.439
I Cs U
7 3 1
Direct
0.130 0.646 0.206
0.646 0.130 0.206
0.805 0.805 0.897
0.140 0.140 0.129
0.303 0.979 0.738
0.979 0.303 0.738
0.658 0.658 0.410
0.221 0.777 0.491
0.513 0.513 0.902
0.777 0.221 0.491
0.953 0.953 0.042
```

Output
Magnetization, μB/atom: 0.18
Space group: Cm
Energy, eV per atom: -3.4373
Formation energy without anion corrections, eV/atom: -1.1918

# 3
The following is a DFT calculation (PBE) of a geometry-optimized Cs2UI8 structure.

Cell and atoms, written as POSCAR:
```
Cs2UI8
1.0
7.244 0.000 -3.451
0.501 8.600 1.052
0.412 1.070 10.194
I Cs U
8 2 1
Direct
0.259 0.758 0.012
0.741 0.242 0.988
0.671 0.423 0.342
0.246 0.242 0.988
0.841 0.066 0.681
0.329 0.577 0.658
0.754 0.758 0.012
0.159 0.934 0.319
0.163 0.409 0.325
0.837 0.591 0.675
0.000 0.000 0.000
```

Output
Magnetization, μB/atom: 0.09
Space group: C2/m
Energy, eV per atom: -3.2288
Formation energy without anion corrections, eV/atom: -0.9201

# 4
The following is a DFT calculation (PBE) of a geometry-optimized Cs3U2I9 structure.

Cell and atoms, written as POSCAR:
```
Cs3U2I9
1.0
-8.166 -7.146 3.062
5.664 -9.433 -2.461
3.860 -1.848 10.431
I Cs U
18 6 4
Direct
0.581 0.919 0.750
0.085 0.918 0.265
0.919 0.750 0.581
0.765 0.418 0.585
0.235 0.582 0.415
0.082 0.735 0.915
0.915 0.082 0.735
0.735 0.915 0.082
0.750 0.581 0.919
0.415 0.235 0.582
0.418 0.585 0.765
0.081 0.250 0.419
0.582 0.415 0.235
0.419 0.081 0.250
0.250 0.419 0.081
0.918 0.265 0.085
0.265 0.085 0.918
0.585 0.765 0.418
0.908 0.592 0.250
0.250 0.908 0.592
0.408 0.750 0.092
0.750 0.092 0.408
0.592 0.250 0.908
0.092 0.408 0.750
0.337 0.337 0.337
0.163 0.163 0.163
0.837 0.837 0.837
0.663 0.663 0.663
```

Output
Magnetization, μB/atom: 0.43
Space group: R-3c
Energy, eV per atom: -3.9388
Formation energy without anion corrections, eV/atom: -1.1468

# 5
The following is a DFT calculation (PBE) of a geometry-optimized Cs2UI5 structure.

Cell and atoms, written as POSCAR:
```
Cs2UI5
1.0
8.681 0.000 0.000
0.000 11.117 0.000
0.000 0.000 17.595
U Cs I
4 8 20
Direct
0.250 0.189 0.060
0.750 0.811 0.940
0.750 0.311 0.560
0.250 0.689 0.440
0.750 0.046 0.199
0.250 0.672 0.084
0.750 0.328 0.916
0.750 0.828 0.584
0.250 0.454 0.699
0.750 0.546 0.301
0.250 0.172 0.416
0.250 0.954 0.801
0.010 0.644 0.889
0.000 0.500 0.500
0.250 0.281 0.891
0.500 0.000 0.000
0.750 0.462 0.707
0.000 0.000 0.000
0.500 0.500 0.500
0.510 0.356 0.111
0.250 0.038 0.207
0.750 0.962 0.793
0.990 0.856 0.389
0.010 0.144 0.611
0.490 0.144 0.611
0.490 0.644 0.889
0.990 0.356 0.111
0.510 0.856 0.389
0.750 0.719 0.109
0.250 0.538 0.293
0.250 0.781 0.609
0.750 0.219 0.391
```

Output
Magnetization, μB/atom: 0.38
Space group: Pnma
Energy, eV per atom: -3.7898
Formation energy without anion corrections, eV/atom: -1.1965

# 6
The following is a DFT calculation (PBE) of a geometry-optimized Cs2V3I8 structure.

Cell and atoms, written as POSCAR:
```
Cs2V3I8
1.0
7.944 0.000 -3.146
-0.742 7.146 -1.873
-0.578 -0.098 10.143
I V Cs
8 3 2
Direct
0.149 0.615 0.827
0.322 0.385 0.173
0.407 0.060 0.813
0.915 0.111 0.829
0.085 0.889 0.171
0.851 0.385 0.173
0.678 0.615 0.827
0.593 0.940 0.187
0.000 0.500 0.000
0.252 0.000 0.000
0.748 0.000 0.000
0.258 0.323 0.516
0.742 0.677 0.484
```

Output
Magnetization, μB/atom: 0.69
Space group: C2/m
Energy, eV per atom: -3.9322
Formation energy without anion corrections, eV/atom: -0.7427